No. 1
Entry from Alexandria via LeMat-Bulk: a relaxed structure of Ga2PI (PBE).

```
data_Ga2PI
_space_group_name_H-M_alt 'F m -3 m'
_space_group_IT_number 225
_space_group_name_Hall '-F 4 2 3'
_cell_length_a 7.192
_cell_length_b 7.192
_cell_length_c 7.192
_cell_angle_alpha 90.00
_cell_angle_beta 90.00
_cell_angle_gamma 90.00
loop_
_atom_site_label
_atom_site_fract_x
_atom_site_fract_y
_atom_site_fract_z
_atom_site_occupancy
Ga1 0.250 0.250 0.250 1
P1 0.000 0.000 0.000 1
I1 0.000 0.000 0.500 1
```

Properties
energy relative to the elements, uncorrected = 0.390 eV/atom

No. 2
Entry from Alexandria via LeMat-Bulk: a relaxed structure of GeAsO3 (PBE).

```
data_GeAsO3
_space_group_name_H-M_alt 'C 1 2/m 1'
_space_group_IT_number 12
_space_group_name_Hall '-C 2y'
_cell_length_a 13.224
_cell_length_b 3.123
_cell_length_c 6.586
_cell_angle_alpha 90.00
_cell_angle_beta 96.08
_cell_angle_gamma 90.00
loop_
_atom_site_label
_atom_site_fract_x
_atom_site_fract_y
_atom_site_fract_z
_atom_site_occupancy
Ge1 0.099 0.000 0.121 1
As1 0.096 0.500 0.589 1
O1 0.037 0.000 0.835 1
O2 0.132 0.000 0.421 1
O3 0.164 0.500 0.102 1
```

Properties
energy relative to the elements, uncorrected = -1.177 eV/atom

Number 1: total DFT energy (no corrections) -2.863 eV per atom. Number 2: total DFT energy (no corrections) -6.005 eV per atom.